1.
An optimized crystal structure of Hf4TlTeC2, computed with PBE-GGA.

The calculation puts the uncorrected energy at -8.69 eV per atom.

The structure belongs to space group P-6m2 (No. 187); the cell edges are 3.4242, 3.4242 and 14.0296 Å and the angles 90.00°, 90.00° and 120.00°. The distinct sites, in fractional coordinates, are Hf at (0.0000, 0.0000, 0.1543), Hf at (0.6667, 0.3333, 0.3233), Tl at (0.0000, 0.0000, 0.5000), Te at (0.6667, 0.3333, 0.0000) and C at (0.3333, 0.6667, 0.2403).


2.
An optimized crystal structure of Tm3HfTe2C2, computed with PBE-GGA.

The calculation puts the uncorrected energy at -6.87 eV per atom.

The structure belongs to space group P3m1 (No. 156); the cell edges are 3.6859, 3.6859 and 13.7250 Å and the angles 90.00°, 90.00° and 120.00°. The distinct sites, in fractional coordinates, are Tm at (0.0000, 0.0000, 0.0000), Tm at (0.0000, 0.0000, 0.3198), Tm at (0.3333, 0.6667, 0.5066), Hf at (0.3333, 0.6667, 0.8218), Te at (0.0000, 0.0000, 0.6731), Te at (0.3333, 0.6667, 0.1584), C at (0.6667, 0.3333, 0.4151) and C at (0.6667, 0.3333, 0.8992).


3.
An optimized crystal structure of Tm3HfTe2C2, computed with PBE-GGA.

The calculation puts the uncorrected energy at -6.87 eV per atom.

The structure belongs to space group P3m1 (No. 156); the cell edges are 3.6860, 3.6860 and 13.7257 Å and the angles 90.00°, 90.00° and 120.00°. The distinct sites, in fractional coordinates, are Tm at (0.0000, 0.0000, 0.0000), Tm at (0.0000, 0.0000, 0.3198), Tm at (0.6667, 0.3333, 0.8133), Hf at (0.6667, 0.3333, 0.4980), Te at (0.0000, 0.0000, 0.6467), Te at (0.6667, 0.3333, 0.1614), C at (0.3333, 0.6667, 0.4206) and C at (0.3333, 0.6667, 0.9047).


4.
An optimized crystal structure of Hf3ZrTe2C2, computed with PBE-GGA.

The calculation puts the uncorrected energy at -8.75 eV per atom.

The structure belongs to space group P3m1 (No. 156); the cell edges are 3.5240, 3.5240 and 13.2235 Å and the angles 90.00°, 90.00° and 120.00°. The distinct sites, in fractional coordinates, are Hf at (0.0000, 0.0000, 0.0000), Hf at (0.0000, 0.0000, 0.3245), Hf at (0.3333, 0.6667, 0.4989), Zr at (0.3333, 0.6667, 0.8232), Te at (0.0000, 0.0000, 0.6595), Te at (0.3333, 0.6667, 0.1625), C at (0.6667, 0.3333, 0.4116) and C at (0.6667, 0.3333, 0.9160).


5.
An optimized crystal structure of Hf3ZrTe2C2, computed with PBE-GGA.

The calculation puts the uncorrected energy at -8.75 eV per atom.

The structure belongs to space group P3m1 (No. 156); the cell edges are 3.5243, 3.5243 and 13.2211 Å and the angles 90.00°, 90.00° and 120.00°. The distinct sites, in fractional coordinates, are Hf at (0.0000, 0.0000, 0.0000), Hf at (0.0000, 0.0000, 0.3244), Hf at (0.6667, 0.3333, 0.8256), Zr at (0.6667, 0.3333, 0.5013), Te at (0.0000, 0.0000, 0.6651), Te at (0.6667, 0.3333, 0.1620), C at (0.3333, 0.6667, 0.4084) and C at (0.3333, 0.6667, 0.9129).


6.
An optimized crystal structure of HfZrTeC, computed with PBE-GGA.

Its energy above the most stable polymorph in this dataset is 0.00 eV/f.u.

The structure belongs to space group P6_3mc (No. 186); the cell edges are 3.5361, 3.5361 and 13.2724 Å and the angles 90.00°, 90.00° and 120.00°. The distinct sites, in fractional coordinates, are Hf at (0.3333, 0.6667, 0.0000), Zr at (0.3333, 0.6667, 0.6763), Te at (0.3333, 0.6667, 0.3395) and C at (0.0000, 0.0000, 0.0840).


7.
An optimized crystal structure of HfZrTeC, computed with PBE-GGA.

Its energy above the most stable polymorph in this dataset is 0.00 eV/f.u.

The structure belongs to space group P-6m2 (No. 187); the cell edges are 3.5379, 3.5379 and 13.2620 Å and the angles 90.00°, 90.00° and 120.00°. The distinct sites, in fractional coordinates, are Hf at (0.0000, 0.0000, 0.1613), Zr at (0.6667, 0.3333, 0.3374), Te at (0.0000, 0.0000, 0.5000), Te at (0.6667, 0.3333, 0.0000) and C at (0.3333, 0.6667, 0.2445).


8.
An optimized crystal structure of HfZrTeC, computed with PBE-GGA.

Its energy above the most stable polymorph in this dataset is 0.01 eV/f.u.

The structure belongs to space group P-3m1 (No. 164); the cell edges are 3.5351, 3.5351 and 13.2727 Å and the angles 90.00°, 90.00° and 120.00°. The distinct sites, in fractional coordinates, are Hf at (0.3333, 0.6667, 0.0869), Zr at (0.3333, 0.6667, 0.4107), Te at (0.3333, 0.6667, 0.7530), C at (0.0000, 0.0000, 0.0000) and C at (0.0000, 0.0000, 0.5000).


9.
An optimized crystal structure of HfZr3Te2C2, computed with PBE-GGA.

The calculation puts the uncorrected energy at -8.43 eV per atom.

The structure belongs to space group P3m1 (No. 156); the cell edges are 3.5480, 3.5480 and 13.3093 Å and the angles 90.00°, 90.00° and 120.00°. The distinct sites, in fractional coordinates, are Hf at (0.0000, 0.0000, 0.0000), Zr at (0.0000, 0.0000, 0.6769), Zr at (0.6667, 0.3333, 0.1755), Zr at (0.6667, 0.3333, 0.4990), Te at (0.0000, 0.0000, 0.3370), Te at (0.6667, 0.3333, 0.8402), C at (0.3333, 0.6667, 0.0833) and C at (0.3333, 0.6667, 0.5880).


10.
An optimized crystal structure of Hf2TlC, computed with PBE-GGA.

The calculation puts the uncorrected energy at -8.50 eV per atom.

The structure belongs to space group P6_3/mmc (No. 194); the cell edges are 3.3430, 3.3430 and 14.8746 Å and the angles 90.00°, 90.00° and 120.00°. The distinct sites, in fractional coordinates, are Hf at (0.3333, 0.6667, 0.0811), Tl at (0.3333, 0.6667, 0.7500) and C at (0.0000, 0.0000, 0.0000).


11.
An optimized crystal structure of Hf2TlC, computed with PBE-GGA.

The calculation puts the uncorrected energy at -8.50 eV per atom.

The structure belongs to space group P6_3/mmc (No. 194); the cell edges are 3.3433, 3.3433 and 14.8663 Å and the angles 90.00°, 90.00° and 120.00°. The distinct sites, in fractional coordinates, are Hf at (0.3333, 0.6667, 0.0812), Tl at (0.3333, 0.6667, 0.7500) and C at (0.0000, 0.0000, 0.0000).


12.
An optimized crystal structure of Hf3TlC, computed with PBE-GGA.

The calculation puts the uncorrected energy at -8.74 eV per atom.

The structure belongs to space group Cmcm (No. 63); the cell edges are 3.3841, 12.0128 and 9.1729 Å and the angles 90.00°, 90.00° and 90.00°. The distinct sites, in fractional coordinates, are Hf at (0.0000, 0.0320, 0.2500), Hf at (0.0000, 0.3783, 0.0390), Tl at (0.0000, 0.2551, 0.7500) and C at (0.0000, 0.0000, 0.0000).


13.
An optimized crystal structure of TmHf3Tl2C2, computed with PBE-GGA.

The calculation puts the uncorrected energy at -7.76 eV per atom.

The structure belongs to space group P3m1 (No. 156); the cell edges are 3.3804, 3.3804 and 15.1727 Å and the angles 90.00°, 90.00° and 120.00°. The distinct sites, in fractional coordinates, are Tm at (0.0000, 0.0000, 0.0000), Hf at (0.0000, 0.0000, 0.6587), Hf at (0.6667, 0.3333, 0.1692), Hf at (0.6667, 0.3333, 0.5007), Tl at (0.0000, 0.0000, 0.3360), Tl at (0.6667, 0.3333, 0.8259), C at (0.3333, 0.6667, 0.0955) and C at (0.3333, 0.6667, 0.5797).


14.
An optimized crystal structure of TmHfTlC, computed with PBE-GGA.

Its energy above the most stable polymorph in this dataset is 0.09 eV/f.u.

The structure belongs to space group P-3m1 (No. 164); the cell edges are 3.4386, 3.4386 and 15.4694 Å and the angles 90.00°, 90.00° and 120.00°. The distinct sites, in fractional coordinates, are Tm at (0.3333, 0.6667, 0.4135), Hf at (0.3333, 0.6667, 0.0769), Tl at (0.3333, 0.6667, 0.7593), C at (0.0000, 0.0000, 0.0000) and C at (0.0000, 0.0000, 0.5000).


15.
An optimized crystal structure of TmHfTlC, computed with PBE-GGA.

Its energy above the most stable polymorph in this dataset is 0.00 eV/f.u.

The structure belongs to space group P6_3mc (No. 186); the cell edges are 3.4291, 3.4291 and 15.4693 Å and the angles 90.00°, 90.00° and 120.00°. The distinct sites, in fractional coordinates, are Tm at (0.3333, 0.6667, 0.0000), Hf at (0.3333, 0.6667, 0.6654), Tl at (0.3333, 0.6667, 0.3302) and C at (0.0000, 0.0000, 0.0944).


16.
An optimized crystal structure of TmHfTlC, computed with PBE-GGA.

Its energy above the most stable polymorph in this dataset is 0.00 eV/f.u.

The structure belongs to space group P-6m2 (No. 187); the cell edges are 3.4297, 3.4297 and 15.4460 Å and the angles 90.00°, 90.00° and 120.00°. The distinct sites, in fractional coordinates, are Tm at (0.0000, 0.0000, 0.1721), Hf at (0.6667, 0.3333, 0.3378), Tl at (0.0000, 0.0000, 0.5000), Tl at (0.6667, 0.3333, 0.0000) and C at (0.3333, 0.6667, 0.2662).


17.
An optimized crystal structure of Tm3HfTl2C2, computed with PBE-GGA.

The calculation puts the uncorrected energy at -6.28 eV per atom.

The structure belongs to space group P3m1 (No. 156); the cell edges are 3.4924, 3.4924 and 15.7305 Å and the angles 90.00°, 90.00° and 120.00°. The distinct sites, in fractional coordinates, are Tm at (0.0000, 0.0000, 0.0000), Tm at (0.0000, 0.0000, 0.3378), Tm at (0.6667, 0.3333, 0.8305), Hf at (0.6667, 0.3333, 0.4994), Tl at (0.0000, 0.0000, 0.6615), Tl at (0.6667, 0.3333, 0.1711), C at (0.3333, 0.6667, 0.4310) and C at (0.3333, 0.6667, 0.9154).


18.
An optimized crystal structure of Hf4Tl3W2C3, computed with PBE-GGA.

The calculation puts the uncorrected energy at -8.71 eV per atom.

The structure belongs to space group C2/c (No. 15); the cell edges are 9.7391, 5.6419 and 15.0097 Å and the angles 90.00°, 102.53° and 90.00°. The distinct sites, in fractional coordinates, are Hf at (0.1118, 0.0781, 0.0859), Hf at (0.2190, 0.0867, 0.4141), Tl at (0.0000, 0.0983, 0.7500), Tl at (0.1595, 0.4243, 0.2485), W at (0.0635, 0.4123, 0.9264), C at (0.0817, 0.2546, 0.5000) and C at (0.2500, 0.2500, 0.0000).


19.
An optimized crystal structure of Hf2Tl3W4C3, computed with PBE-GGA.

The calculation puts the uncorrected energy at -8.86 eV per atom.

The structure belongs to space group C2/c (No. 15); the cell edges are 9.6932, 5.6153 and 14.5279 Å and the angles 90.00°, 102.96° and 90.00°. The distinct sites, in fractional coordinates, are Hf at (0.0534, 0.0821, 0.4102), Tl at (0.0000, 0.4401, 0.2500), Tl at (0.1778, 0.0929, 0.7497), W at (0.1089, 0.4161, 0.5739), W at (0.2251, 0.4172, 0.9259), C at (0.0828, 0.2492, 0.0001) and C at (0.2500, 0.2500, 0.5000).


20.
An optimized crystal structure of Hf2Zr4Tl3C3, computed with PBE-GGA.

The calculation puts the uncorrected energy at -8.03 eV per atom.

The structure belongs to space group C2/c (No. 15); the cell edges are 10.1258, 5.8467 and 15.3999 Å and the angles 90.00°, 102.69° and 90.00°. The distinct sites, in fractional coordinates, are Hf at (0.0574, 0.0840, 0.4203), Zr at (0.1109, 0.4181, 0.5823), Zr at (0.2217, 0.4159, 0.9177), Tl at (0.0000, 0.4124, 0.2500), Tl at (0.1645, 0.0812, 0.7499), C at (0.0820, 0.2459, 0.0000) and C at (0.2500, 0.2500, 0.5000).